Here is Y2CrCu at its PBEsol-relaxed geometry from Alexandria. Energies are from SCAN.

```
Y2CrCu
1.0
-1.5850 3.0923 3.3598
-4.5376 1.6547 -0.1867
-3.2379 -1.4492 3.2831
Cu Y Cr
1 2 1
direct
0.2500 0.2500 0.2500
0.7500 0.7500 0.7500
0.0000 0.0000 0.0000
0.5000 0.5000 0.5000
```

Formation energy from the elements = 0.1707 eV/atom
VASP energy = -22.15 eV/atom
Size of the total moment = 5.0 μB per cell
V = 79.85 Å³ per cell